A relaxed structure of PaH2WO8. Source: the Alexandria database, functional GGA+U.

The space group is P-1 (No. 2) and the conventional cell measures 4.6607, 4.8857 and 7.0232 Å, with angles of 91.16, 90.72 and 114.98 degrees. The inequivalent atoms are Pa at (0.0000, 0.0000, 0.0000), H at (0.4381, 0.4719, 0.7004), W at (0.0000, 0.0000, 0.5000), O at (0.2054, 0.2552, 0.2998), O at (0.2259, 0.2906, 0.7076), O at (0.2603, 0.7731, 0.0026) and O at (0.3579, 0.8692, 0.5098).

The value obtained for the total energy is -82.6 eV for the cell shown.